1.
Below is crystalline CaCe4Sm3Se8 at its relaxed geometry, with properties calculated at the PBE level.

Cell lengths 8.3605, 8.4147, 8.3613 Å; angles 119.79, 120.00, 90.00 degrees
Site moments in Bohr magnetons follow the coordinates.
Atoms (fractional coordinates):
Ca 0.0000 0.5000 0.0000  0.00
Ce 0.5000 0.0000 0.0000  0.93
Ce 0.5000 0.0000 0.5000  0.86
Ce 0.0000 0.0000 0.0000  0.86
Ce 0.0000 0.0000 0.5000  0.86
Sm 0.5000 0.5000 0.0000  0.00
Sm 0.5000 0.5000 0.5000  0.00
Sm 0.0000 0.5000 0.5000  0.00
Se 0.2470 0.7448 0.9977  -0.01
Se 0.2474 0.7451 0.4947  -0.01
Se 0.2509 0.2531 0.5018  -0.01
Se 0.7507 0.7448 0.9977  -0.01
Se 0.2493 0.2552 0.0023  -0.01
Se 0.7491 0.7469 0.4982  -0.01
Se 0.7526 0.2549 0.5053  -0.01
Se 0.7530 0.2552 0.0023  -0.01

## Properties
As for the crystal system: trigonal. Its electronic total energy is -97.11 eV for the cell shown. As for the total magnetic moment: 4.22 Bohr magnetons per cell. The volume comes out at 26.1 Å³/atom. The value obtained for the density of states at the Fermi level is 1.659 states/eV per atom. The raw formation energy comes out at -1.834 eV/atom.

***

2.
Below is crystalline SrCaCe2Se4 at its relaxed geometry, with properties calculated at the PBE level.

Cell lengths 4.2396, 7.5138, 7.3459 Å; angles 70.99, 90.00, 90.00 degrees
Site moments in Bohr magnetons follow the coordinates.
Atoms (fractional coordinates):
Sr 0.0000 0.5000 0.5000  0.01
Ca 0.5000 0.5000 0.0000  0.01
Ce 0.0000 0.0000 0.0000  1.05
Ce 0.5000 0.0000 0.5000  1.11
Se 0.0000 0.7489 0.7565  -0.01
Se 0.0000 0.2511 0.2435  -0.01
Se 0.5000 0.7536 0.2426  -0.01
Se 0.5000 0.2464 0.7574  -0.01

## Properties
As for the crystal system: monoclinic. Its electronic total energy is -44.39 eV for the cell shown. As for the total magnetic moment: 2.71 Bohr magnetons per cell. The volume comes out at 27.7 Å³/atom. The value obtained for the density of states at the Fermi level is 1.690 states/eV per atom. The raw formation energy comes out at -1.862 eV/atom.

***

3.
Below is crystalline SrCa2CeSe4 at its relaxed geometry, with properties calculated at the PBE level.

Cell lengths 4.2589, 7.4191, 7.4351 Å; angles 70.62, 90.00, 90.00 degrees
Site moments in Bohr magnetons follow the coordinates.
Atoms (fractional coordinates):
Sr 0.0000 0.5000 0.5000  0.01
Ca 0.0000 0.0000 0.0000  0.01
Ca 0.5000 0.0000 0.5000  0.01
Ce 0.5000 0.5000 0.0000  1.12
Se 0.0000 0.7577 0.7515  -0.01
Se 0.0000 0.2423 0.2485  -0.01
Se 0.5000 0.7598 0.2411  -0.01
Se 0.5000 0.2402 0.7589  -0.01

## Properties
As for the crystal system: monoclinic. Its electronic total energy is -40.95 eV for the cell shown. As for the total magnetic moment: 1.44 Bohr magnetons per cell. The volume comes out at 27.7 Å³/atom. The value obtained for the density of states at the Fermi level is 1.144 states/eV per atom. The raw formation energy comes out at -1.924 eV/atom.

***

4.
Below is crystalline Sr2CaCeSe4 at its relaxed geometry, with properties calculated at the PBE level.

Cell lengths 4.3175, 7.5138, 7.5400 Å; angles 109.36, 90.00, 90.00 degrees
Site moments in Bohr magnetons follow the coordinates.
Atoms (fractional coordinates):
Sr 0.5000 0.0000 0.5000  0.01
Sr 0.0000 0.5000 0.5000  0.01
Ca 0.0000 0.0000 0.0000  0.01
Ce 0.5000 0.5000 0.0000  1.10
Se 0.5000 0.2447 0.2369  -0.01
Se 0.5000 0.7553 0.7631  -0.01
Se 0.0000 0.2518 0.7608  -0.01
Se 0.0000 0.7482 0.2392  -0.01

## Properties
As for the crystal system: monoclinic. Its electronic total energy is -40.74 eV for the cell shown. As for the total magnetic moment: 1.40 Bohr magnetons per cell. The volume comes out at 28.8 Å³/atom. The value obtained for the density of states at the Fermi level is 1.137 states/eV per atom. The raw formation energy comes out at -1.937 eV/atom.

***

5.
Below is crystalline CaTbCe2Se4 at its relaxed geometry, with properties calculated at the PBE level.

Cell lengths 4.1479, 7.3091, 7.2079 Å; angles 70.94, 90.00, 90.00 degrees
Site moments in Bohr magnetons follow the coordinates.
Atoms (fractional coordinates):
Ca 0.5000 0.5000 0.0000  0.01
Tb 0.0000 0.5000 0.5000  0.01
Ce 0.0000 0.0000 0.0000  0.97
Ce 0.5000 0.0000 0.5000  0.99
Se 0.0000 0.7406 0.7517  -0.01
Se 0.0000 0.2594 0.2483  -0.01
Se 0.5000 0.7398 0.2542  -0.01
Se 0.5000 0.2602 0.7458  -0.01

## Properties
As for the crystal system: monoclinic. Its electronic total energy is -47.09 eV for the cell shown. As for the total magnetic moment: 2.47 Bohr magnetons per cell. The volume comes out at 25.8 Å³/atom. The value obtained for the density of states at the Fermi level is 1.651 states/eV per atom. The raw formation energy comes out at -1.832 eV/atom.

***

6.
Below is crystalline CaTb2CeSe4 at its relaxed geometry, with properties calculated at the PBE level.

Cell lengths 4.1272, 7.2210, 7.1702 Å; angles 109.20, 90.00, 90.00 degrees
Site moments in Bohr magnetons follow the coordinates.
Atoms (fractional coordinates):
Ca 0.0000 0.0000 0.0000  0.00
Tb 0.5000 0.0000 0.5000  0.01
Tb 0.0000 0.5000 0.5000  0.03
Ce 0.5000 0.5000 0.0000  0.86
Se 0.5000 0.2483 0.2547  0.00
Se 0.5000 0.7517 0.7453  0.00
Se 0.0000 0.2436 0.7432  -0.01
Se 0.0000 0.7564 0.2568  -0.01

## Properties
As for the crystal system: monoclinic. Its electronic total energy is -45.80 eV for the cell shown. As for the total magnetic moment: 1.07 Bohr magnetons per cell. The volume comes out at 25.2 Å³/atom. The value obtained for the density of states at the Fermi level is 1.033 states/eV per atom. The raw formation energy comes out at -1.834 eV/atom.

***

7.
Below is crystalline CaTbCe2Se5 at its relaxed geometry, with properties calculated at the PBE level.

Cell lengths 5.2022, 5.2022, 10.8148 Å; angles 90.00, 90.00, 90.00 degrees
Site moments in Bohr magnetons follow the coordinates.
Atoms (fractional coordinates):
Ca 0.0000 0.0000 0.0000  0.00
Tb 0.0000 0.0000 0.5000  0.04
Ce 0.5000 0.5000 0.2974  1.32
Ce 0.5000 0.5000 0.7026  1.32
Se 0.0000 0.5000 0.5000  -0.01
Se 0.5000 0.0000 0.5000  -0.01
Se 0.0000 0.0000 0.7548  -0.01
Se 0.0000 0.0000 0.2452  -0.01
Se 0.5000 0.5000 0.0000  -0.01

## Properties
As for the crystal system: tetragonal. Its electronic total energy is -48.51 eV for the cell shown. As for the total magnetic moment: 2.96 Bohr magnetons per cell. The volume comes out at 32.5 Å³/atom. The value obtained for the density of states at the Fermi level is 2.086 states/eV per atom. The raw formation energy comes out at -1.398 eV/atom.

***

8.
Below is crystalline Ca3TbCe3Se8 at its relaxed geometry, with properties calculated at the PBE level.

Cell lengths 8.3966, 8.3948, 8.4503 Å; angles 119.77, 90.00, 120.01 degrees
Site moments in Bohr magnetons follow the coordinates.
Atoms (fractional coordinates):
Ca 0.0000 0.0000 0.0000  0.01
Ca 0.0000 0.5000 0.0000  0.01
Ca 0.5000 0.5000 0.0000  0.01
Tb 0.0000 0.0000 0.5000  0.05
Ce 0.5000 0.0000 0.5000  1.06
Ce 0.5000 0.5000 0.5000  1.06
Ce 0.0000 0.5000 0.5000  1.06
Se 0.2479 0.4959 0.2437  -0.01
Se 0.7521 0.5041 0.7563  -0.01
Se 0.7555 0.5109 0.2546  -0.01
Se 0.2445 0.4891 0.7454  -0.01
Se 0.7555 0.9991 0.2546  -0.01
Se 0.2445 0.0009 0.7454  -0.01
Se 0.2435 0.9991 0.2546  -0.01
Se 0.7565 0.0009 0.7454  -0.01

## Properties
As for the crystal system: trigonal. Its electronic total energy is -84.49 eV for the cell shown. As for the total magnetic moment: 3.98 Bohr magnetons per cell. The volume comes out at 28.2 Å³/atom. The value obtained for the density of states at the Fermi level is 1.543 states/eV per atom. The raw formation energy comes out at -1.878 eV/atom.

***

9.
Below is crystalline Ca3Tb3CeSe8 at its relaxed geometry, with properties calculated at the PBE level.

Cell lengths 8.2570, 8.2581, 8.3522 Å; angles 119.63, 90.00, 120.00 degrees
Site moments in Bohr magnetons follow the coordinates.
Atoms (fractional coordinates):
Ca 0.0000 0.0000 0.0000  0.00
Ca 0.0000 0.5000 0.0000  0.00
Ca 0.5000 0.5000 0.0000  0.00
Tb 0.5000 0.0000 0.5000  0.02
Tb 0.5000 0.5000 0.5000  0.02
Tb 0.0000 0.5000 0.5000  0.02
Ce 0.0000 0.0000 0.5000  0.90
Se 0.2512 0.5023 0.2541  0.00
Se 0.7488 0.4977 0.7459  0.00
Se 0.7472 0.4944 0.2527  -0.01
Se 0.2528 0.5056 0.7473  -0.01
Se 0.7477 0.0058 0.2531  -0.01
Se 0.2523 0.9942 0.7469  -0.01
Se 0.2581 0.0058 0.2531  -0.01
Se 0.7419 0.9942 0.7469  -0.01

## Properties
As for the crystal system: trigonal. Its electronic total energy is -82.06 eV for the cell shown. As for the total magnetic moment: 1.07 Bohr magnetons per cell. The volume comes out at 27.0 Å³/atom. The value obtained for the density of states at the Fermi level is 0.676 states/eV per atom. The raw formation energy comes out at -1.890 eV/atom.

***

10.
Below is crystalline CaTb4CeSe8 at its relaxed geometry, with properties calculated at the PBE level.

Cell lengths 8.4993, 8.4993, 8.5784 Å; angles 60.30, 60.30, 60.00 degrees
Site moments in Bohr magnetons follow the coordinates.
Atoms (fractional coordinates):
Ca 0.3743 0.3743 0.8770  0.00
Tb 0.6258 0.6258 0.1227  0.04
Tb 0.0019 0.4943 0.5018  0.04
Tb 0.4943 0.0019 0.5018  0.04
Tb 0.0019 0.0019 0.5018  0.04
Ce 0.0012 0.0012 0.9964  1.06
Se 0.2453 0.7777 0.7318  -0.01
Se 0.7777 0.2453 0.7318  -0.01
Se 0.2453 0.2453 0.7318  -0.01
Se 0.2403 0.2403 0.2792  0.00
Se 0.7522 0.2297 0.2660  -0.01
Se 0.2297 0.7522 0.2660  -0.01
Se 0.7522 0.7522 0.2660  -0.01
Se 0.7580 0.7580 0.7259  0.00

## Properties
As for the crystal system: trigonal. Its electronic total energy is -79.31 eV for the cell shown. As for the total magnetic moment: 1.43 Bohr magnetons per cell. The volume comes out at 31.4 Å³/atom. The value obtained for the density of states at the Fermi level is 0.750 states/eV per atom. The raw formation energy comes out at -1.784 eV/atom.

***

11.
Below is crystalline CaCe2ThSe4 at its relaxed geometry, with properties calculated at the PBE level.

Cell lengths 4.1773, 7.2811, 7.3098 Å; angles 70.77, 90.00, 90.00 degrees
Site moments in Bohr magnetons follow the coordinates.
Atoms (fractional coordinates):
Ca 0.5000 0.5000 0.0000  0.00
Ce 0.0000 0.0000 0.0000  0.80
Ce 0.5000 0.0000 0.5000  0.90
Th 0.0000 0.5000 0.5000  0.02
Se 0.0000 0.7444 0.7557  -0.01
Se 0.0000 0.2556 0.2443  -0.01
Se 0.5000 0.7475 0.2456  -0.01
Se 0.5000 0.2525 0.7544  -0.01

## Properties
As for the crystal system: monoclinic. Its electronic total energy is -49.30 eV for the cell shown. As for the total magnetic moment: 2.06 Bohr magnetons per cell. The volume comes out at 26.2 Å³/atom. The value obtained for the density of states at the Fermi level is 1.673 states/eV per atom. The raw formation energy comes out at -1.760 eV/atom.

***

12.
Below is crystalline Ca2CeTl3Se6 at its relaxed geometry, with properties calculated at the PBE level.

Cell lengths 7.4350, 7.4350, 7.8506 Å; angles 99.07, 99.07, 120.00 degrees
Atoms (fractional coordinates):
Ca 0.3343 0.6657 0.0000
Ca 0.6657 0.3343 0.0000
Ce 0.0000 0.0000 0.0000
Tl 0.1689 0.8311 0.5000
Tl 0.8311 0.1689 0.5000
Tl 0.5000 0.5000 0.5000
Se 0.9291 0.6073 0.7870
Se 0.7516 0.7516 0.2172
Se 0.0709 0.3927 0.2130
Se 0.6073 0.9291 0.7870
Se 0.2484 0.2484 0.7828
Se 0.3927 0.0709 0.2130

## Properties
As for the crystal system: monoclinic. Its electronic total energy is -52.44 eV for the cell shown. As for the total magnetic moment: 0.00 Bohr magnetons per cell. The volume comes out at 29.7 Å³/atom. The value obtained for the density of states at the Fermi level is 0.564 states/eV per atom. The raw formation energy comes out at -1.208 eV/atom.